DFT (PBE) results for an optimized crystal structure of TlSiPd4.

The structure belongs to space group P2_1/c (No. 14); the cell edges are 8.0148, 5.6237 and 4.6021 Å and the angles 90.00°, 93.41° and 90.00°. The distinct sites, in fractional coordinates, are Tl at (0.0000, 0.0000, 0.0000), Si at (0.5000, 0.0000, 0.5000), Pd at (0.2133, 0.1017, 0.5202) and Pd at (0.3531, 0.6180, 0.5311).

The uncorrected formation energy comes out at -340 meV per atom. The calculation puts the polymorph energy (0 for the lowest one) at 108.5 meV/atom. As for the total energy: -5.10 eV per atom. The calculation puts the theoretical density at 10.56 g/cm³.

---

DFT (PBE) results for an optimized crystal structure of Tl2Si2Pd.

The structure belongs to space group P4/mbm (No. 127); the cell edges are 6.3783, 6.3783 and 5.2451 Å and the angles 90.00°, 90.00° and 90.00°. The distinct sites, in fractional coordinates, are Tl at (0.1862, 0.3138, 0.0000), Si at (0.1344, 0.6344, 0.5000) and Pd at (0.0000, 0.0000, 0.5000).

The uncorrected formation energy comes out at 57 meV per atom. As for the total energy: -4.10 eV per atom. The calculation puts the theoretical density at 8.89 g/cm³.

---

DFT (PBE) results for an optimized crystal structure of TmSi3Pd5.

The structure belongs to space group Cmcm (No. 63); the cell edges are 3.7786, 12.6541 and 12.7734 Å and the angles 90.00°, 90.00° and 90.00°. The distinct sites, in fractional coordinates, are Tm at (0.0000, 0.1387, 0.2500), Si at (0.0000, 0.1193, 0.7500), Si at (0.0000, 0.3823, 0.5394), Pd at (0.0000, 0.0000, 0.0000), Pd at (0.0000, 0.2054, 0.5787) and Pd at (0.0000, 0.4549, 0.1472).

The uncorrected formation energy comes out at -670 meV per atom. As for the total energy: -5.86 eV per atom. The calculation puts the theoretical density at 8.54 g/cm³.

---

DFT (PBE) results for an optimized crystal structure of Tm2Si2Pd3.

The structure belongs to space group C2/m (No. 12); the cell edges are 10.2052, 3.8464 and 6.9858 Å and the angles 90.00°, 114.52° and 90.00°. The distinct sites, in fractional coordinates, are Tm at (0.1322, 0.0000, 0.2704), Si at (0.1534, 0.0000, 0.7173), Pd at (0.0000, 0.5000, 0.5000) and Pd at (0.1261, 0.5000, 0.9373).

The uncorrected formation energy comes out at -935 meV per atom. As for the total energy: -5.99 eV per atom. The calculation puts the theoretical density at 9.50 g/cm³.

---

DFT (PBE) results for an optimized crystal structure of Tm2Si2Pd5.

The structure belongs to space group P4/mmm (No. 123); the cell edges are 4.1385, 4.1385 and 8.9562 Å and the angles 90.00°, 90.00° and 90.00°. The distinct sites, in fractional coordinates, are Tm at (0.0000, 0.0000, 0.0000), Tm at (0.0000, 0.0000, 0.5000), Si at (0.5000, 0.5000, 0.1298), Pd at (0.0000, 0.5000, 0.2687) and Pd at (0.5000, 0.5000, 0.5000).

The uncorrected formation energy comes out at -961 meV per atom. As for the total energy: -6.04 eV per atom. The calculation puts the theoretical density at 10.03 g/cm³.

---

DFT (PBE) results for an optimized crystal structure of TmSi6Pd12.

The structure belongs to space group R-3m (No. 166, hexagonal axes); the cell edges are 11.3048, 11.3048 and 8.2674 Å and the angles 90.00°, 90.00° and 120.00°. The distinct sites, in fractional coordinates, are Tm at (0.0000, 0.0000, 0.0000), Si at (0.0406, 0.5203, 0.2661), Pd at (0.0000, 0.3758, 0.5000) and Pd at (0.0860, 0.1720, 0.3403).

The uncorrected formation energy comes out at -620 meV per atom. As for the total energy: -5.85 eV per atom. The calculation puts the theoretical density at 8.79 g/cm³.

---

DFT (PBE) results for an optimized crystal structure of TmSi3Pd2.

The structure belongs to space group Cmcm (No. 63); the cell edges are 9.4045, 7.5099 and 5.6703 Å and the angles 90.00°, 90.00° and 90.00°. The distinct sites, in fractional coordinates, are Tm at (0.0000, 0.1671, 0.2500), Si at (0.0000, 0.4602, 0.7500), Si at (0.1305, 0.1887, 0.7500) and Pd at (0.2199, 0.5000, 0.0000).

The uncorrected formation energy comes out at -562 meV per atom. As for the total energy: -5.75 eV per atom. The calculation puts the theoretical density at 7.73 g/cm³.

---

DFT (PBE) results for an optimized crystal structure of TmSi3Pd10.

The structure belongs to space group Fm-3m (No. 225); the cell edges are 12.2212, 12.2212 and 12.2212 Å and the angles 90.00°, 90.00° and 90.00°. The distinct sites, in fractional coordinates, are Tm at (0.2500, 0.2500, 0.2500), Si at (0.0000, 0.0000, 0.2342), Pd at (0.0000, 0.1720, 0.3280) and Pd at (0.1169, 0.1169, 0.1169).

The uncorrected formation energy comes out at -695 meV per atom. As for the total energy: -5.89 eV per atom. The calculation puts the theoretical density at 9.59 g/cm³.

---

DFT (PBE) results for an optimized crystal structure of TmSi2Pd2.

The structure belongs to space group I4/mmm (No. 139); the cell edges are 4.1314, 4.1314 and 9.9350 Å and the angles 90.00°, 90.00° and 90.00°. The distinct sites, in fractional coordinates, are Tm at (0.0000, 0.0000, 0.0000), Si at (0.0000, 0.0000, 0.3843) and Pd at (0.0000, 0.5000, 0.2500).

The uncorrected formation energy comes out at -916 meV per atom. As for the total energy: -6.06 eV per atom. The calculation puts the theoretical density at 8.58 g/cm³.

---

DFT (PBE) results for an optimized crystal structure of TmSiPd5.

The structure belongs to space group P4/mmm (No. 123); the cell edges are 4.0253, 4.0253 and 7.1178 Å and the angles 90.00°, 90.00° and 90.00°. The distinct sites, in fractional coordinates, are Tm at (0.0000, 0.0000, 0.0000), Si at (0.5000, 0.5000, 0.5000), Pd at (0.0000, 0.5000, 0.2990) and Pd at (0.5000, 0.5000, 0.0000).

The uncorrected formation energy comes out at -846 meV per atom. As for the total energy: -5.97 eV per atom. The calculation puts the theoretical density at 10.50 g/cm³.